Computed, not measured: a geometry-optimized KBa2In structure at the PBE level of DFT.

Structure (POSCAR):
```
KBa2In
1.0
-0.0724 4.1823 -1.6506
-1.8512 0.7991 -4.0195
-12.0709 3.7001 3.7794
Ba K In
2 1 1
direct
0.0628 0.0628 0.8115
0.2703 0.2703 0.1891
0.5003 0.5003 0.4991
0.6666 0.6666 0.0003
```

Mass density: 3145 kg/m3
Space-group type: R3m

Computed, not measured: a geometry-optimized KBaIn structure at the PBE level of DFT.

Structure (POSCAR):
```
KBaIn
1.0
-3.9773 1.8599 2.3997
1.6868 -2.0269 4.3668
7.0748 9.2632 4.5464
Ba In K
2 2 2
direct
0.2500 0.9266 0.1469
0.7500 0.0734 0.8531
0.2500 0.5350 0.9301
0.7500 0.4650 0.0699
0.2500 0.6916 0.6169
0.7500 0.3084 0.3831
```

Mass density: 3094 kg/m3
Space-group type: Cmcm
Offset from the most stable computed form: 0 meV/atom

Computed, not measured: a geometry-optimized K2BaIn structure at the PBE level of DFT.

Structure (POSCAR):
```
K2BaIn
1.0
-3.6520 -2.1585 1.1853
0.9958 -3.2055 -2.7695
6.7316 -8.4439 5.3635
K Ba In
2 1 1
direct
0.0000 0.0668 0.9348
0.5000 0.2379 0.2592
0.0000 0.4269 0.5734
0.5000 0.7683 0.7326
```

Mass density: 2545 kg/m3
Space-group type: Pm

Computed, not measured: a geometry-optimized K4BaIn structure at the PBE level of DFT.

Structure (POSCAR):
```
K4BaIn
1.0
0.0000 5.4984 5.4984
5.4984 0.0000 5.4984
5.4984 5.4984 0.0000
In K Ba
1 4 1
direct
0.0000 0.0000 0.0000
0.1199 0.6267 0.6267
0.6267 0.6267 0.1199
0.6267 0.1199 0.6267
0.6267 0.6267 0.6267
0.2500 0.2500 0.2500
```

Mass density: 2041 kg/m3
Space-group type: F-43m

Computed, not measured: a geometry-optimized KBaIn structure at the PBE level of DFT.

Structure (POSCAR):
```
KBaIn
1.0
8.3381 0.0727 -0.0183
6.0286 5.7606 0.0183
-7.1770 -2.9323 3.0694
In K Ba
1 1 1
direct
0.3432 0.3432 0.0000
0.6961 0.6961 0.0000
0.9607 0.9607 0.0000
```

Mass density: 3310 kg/m3
Space-group type: I4mm
Offset from the most stable computed form: 108 meV/atom

Computed, not measured: a geometry-optimized K2BaIn structure at the PBE level of DFT.

Structure (POSCAR):
```
K2BaIn
1.0
13.5216 -0.0443 -0.0260
12.8412 4.2356 -0.0260
12.8412 2.0416 3.7112
K In Ba
2 1 1
direct
0.4851 0.4851 0.4851
0.0149 0.0149 0.0149
0.7500 0.7500 0.7500
0.2500 0.2500 0.2500
```

Mass density: 2538 kg/m3
Space-group type: R-3m

Computed, not measured: a geometry-optimized KBaIn structure at the PBE level of DFT.

Structure (POSCAR):
```
KBaIn
1.0
6.0742 0.0000 0.0000
-3.0371 5.2604 0.0000
0.0000 0.0000 3.8768
K Ba In
1 1 1
direct
0.3333 0.6667 0.6406
0.0000 0.0000 0.9683
0.6667 0.3333 0.3911
```

Mass density: 3904 kg/m3
Space-group type: P3m1
Offset from the most stable computed form: 213 meV/atom

Computed, not measured: a geometry-optimized K2BaIn2 structure at the PBE level of DFT.

Structure (POSCAR):
```
K2BaIn2
1.0
5.2212 0.0000 0.0000
0.0000 5.2212 0.0000
2.6106 2.6106 8.1162
K In Ba
2 2 1
direct
0.2500 0.7500 0.5000
0.7500 0.2500 0.5000
0.5879 0.5879 0.8242
0.4121 0.4121 0.1758
0.0000 0.0000 0.0000
```

Mass density: 3341 kg/m3
Space-group type: I4/mmm
Offset from the most stable computed form: 0 meV/atom

no.,final energy (eV for the cell shown)
1,-8.073
2,-12.917
3,-7.232
4,-7.852
5,-6.135
6,-6.277
7,-5.818
8,-9.937